No. 1
Density functional theory data (PBE-GGA) for a relaxed InWN3 crystal.

Density: 8.8 g/cm³
Volume: 64.3 Å³/f.u.
Size of the total moment: 0.0 μB per formula unit
Formation energy without anion corrections: 2481 meV per atom

a = 4.006 Å, b = 4.006 Å, c = 4.006 Å
α = 90.00°, β = 90.00°, γ = 90.00°
Fractional positions:
W (0.500, 0.500, 0.500)
N (0.000, 0.500, 0.000)
N (0.000, 0.000, 0.500)
N (0.500, 0.000, 0.000)
In (0.000, 0.000, 0.000)


No. 2
Density functional theory data (PBE-GGA) for a relaxed Zn2SbRh crystal.

Density: 8.4 g/cm³
Volume: 70.2 Å³/f.u.
Size of the total moment: 0.0 μB per formula unit
Formation energy without anion corrections: -54 meV per atom

a = 4.842 Å, b = 3.142 Å, c = 4.627 Å
α = 94.72°, β = 90.00°, γ = 90.00°
Fractional positions:
Zn (0.000, 0.993, 0.023)
Zn (0.000, 0.507, 0.477)
Rh (0.500, 0.250, 0.250)
Sb (0.500, 0.750, 0.750)


No. 3
Density functional theory data (PBE-GGA) for a relaxed Na3Sc2AlO6 crystal.

Density: 3.4 g/cm³
Volume: 135.7 Å³/f.u.
Size of the total moment: 0.0 μB per formula unit
Formation energy without anion corrections: -2702 meV per atom

a = 5.364 Å, b = 5.364 Å, c = 5.733 Å
α = 98.96°, β = 98.96°, γ = 120.03°
Fractional positions:
Na (0.500, 0.500, 0.500)
Na (0.836, 0.164, 0.500)
Na (0.164, 0.836, 0.500)
O (0.066, 0.380, 0.199)
O (0.380, 0.066, 0.199)
O (0.247, 0.247, 0.804)
O (0.620, 0.934, 0.801)
O (0.753, 0.753, 0.196)
O (0.934, 0.620, 0.801)
Sc (0.667, 0.333, 0.000)
Sc (0.333, 0.667, 0.000)
Al (0.000, 0.000, 0.000)


No. 4
Density functional theory data (PBE-GGA) for a relaxed LaHo2Rh3 crystal.

Density: 10.3 g/cm³
Volume: 125.8 Å³/f.u.
Size of the total moment: 0.0 μB per formula unit
DFT formation energy: -797 meV per atom

a = 4.907 Å, b = 4.907 Å, c = 6.034 Å
α = 90.00°, β = 90.00°, γ = 120.00°
Fractional positions:
Rh (0.000, 0.000, 0.500)
Rh (0.667, 0.333, 0.820)
Rh (0.333, 0.667, 0.180)
La (0.000, 0.000, 0.000)
Ho (0.333, 0.667, 0.661)
Ho (0.667, 0.333, 0.339)


No. 5
Density functional theory data (PBE-GGA) for a relaxed TmScBeOs crystal.

Density: 9.7 g/cm³
Volume: 71.0 Å³/f.u.
Size of the total moment: 0.0 μB per formula unit
DFT formation energy: -197 meV per atom

a = 4.648 Å, b = 4.648 Å, c = 4.648 Å
α = 60.00°, β = 60.00°, γ = 60.00°
Fractional positions:
Os (0.250, 0.250, 0.250)
Sc (0.000, 0.000, 0.000)
Be (0.750, 0.750, 0.750)
Tm (0.500, 0.500, 0.500)


No. 6
Density functional theory data (PBE-GGA) for a relaxed Sr3Tb3CuS8 crystal.

Density: 4.7 g/cm³
Volume: 378.2 Å³/f.u.
Size of the total moment: 0.1 μB per formula unit
Formation energy without anion corrections: -1789 meV per atom

a = 8.018 Å, b = 8.013 Å, c = 8.223 Å
α = 119.15°, β = 90.00°, γ = 120.02°
Fractional positions:
Sr (0.500, 0.500, 0.000)
Sr (0.000, 0.500, 0.000)
Sr (0.000, 0.000, 0.000)
S (0.742, 0.981, 0.719)
S (0.257, 0.513, 0.270)
S (0.762, 0.019, 0.281)
S (0.238, 0.981, 0.719)
S (0.237, 0.475, 0.718)
S (0.258, 0.019, 0.281)
S (0.743, 0.487, 0.730)
S (0.763, 0.525, 0.282)
Tb (0.500, 0.000, 0.500)
Tb (0.500, 0.500, 0.500)
Tb (0.000, 0.500, 0.500)
Cu (0.000, 0.000, 0.500)


No. 7
Density functional theory data (PBE-GGA) for a relaxed Ce4In5Au2 crystal.

Density: 9.0 g/cm³
Volume: 282.5 Å³/f.u.
Size of the total moment: 4.1 μB per formula unit
DFT formation energy: -473 meV per atom

a = 3.315 Å, b = 8.119 Å, c = 10.523 Å
α = 94.23°, β = 90.00°, γ = 90.00°
Fractional positions:
In (0.000, 0.500, 0.000)
In (0.000, 0.442, 0.704)
In (0.000, 0.800, 0.837)
In (0.000, 0.200, 0.163)
In (0.000, 0.558, 0.296)
Au (0.000, 0.057, 0.636)
Au (0.000, 0.943, 0.364)
Ce (0.500, 0.840, 0.123)
Ce (0.500, 0.737, 0.551)
Ce (0.500, 0.160, 0.877)
Ce (0.500, 0.263, 0.449)


No. 8
Density functional theory data (PBE-GGA) for a relaxed Ta3B4 crystal.

Density: 13.3 g/cm³
Volume: 73.2 Å³/f.u.
Size of the total moment: 0.0 μB per formula unit
DFT formation energy: -770 meV per atom

a = 7.390 Å, b = 7.390 Å, c = 7.390 Å
α = 155.41°, β = 154.12°, γ = 36.00°
Fractional positions:
B (0.564, 0.064, 0.500)
B (0.436, 0.936, 0.500)
B (0.367, 0.367, 0.000)
B (0.633, 0.633, 0.000)
Ta (0.185, 0.185, 0.000)
Ta (0.000, 0.500, 0.500)
Ta (0.815, 0.815, 0.000)